The following is a DFT calculation (GGA-PBE) of a relaxed structure of Cs3Na2Hg5.

- Fermi-level density of states (states/eV/cell) = 13.61
- crystal system = tetragonal
- E_tot (eV/cell) = -17.32
- energy of formation (kJ/mol of atoms) = -18.9

Lattice parameters (Å, degrees): 4.766 13.082 13.082 90.00 90.00 90.00
Sites, in units of the cell vectors:
Cs: 0.000 0.315 0.815
Cs: 0.000 0.685 0.185
Cs: 0.000 0.185 0.315
Cs: 0.000 0.815 0.685
Cs: 0.000 0.000 0.000
Cs: 0.000 0.500 0.500
Na: 0.000 0.109 0.609
Na: 0.000 0.891 0.391
Na: 0.000 0.391 0.109
Na: 0.000 0.609 0.891
Hg: 0.500 0.233 0.058
Hg: 0.500 0.767 0.942
Hg: 0.500 0.942 0.233
Hg: 0.500 0.058 0.767
Hg: 0.500 0.267 0.558
Hg: 0.500 0.733 0.442
Hg: 0.500 0.558 0.733
Hg: 0.500 0.442 0.267
Hg: 0.500 0.000 0.500
Hg: 0.500 0.500 0.000


The following is a DFT calculation (GGA-PBE) of a relaxed structure of Y2TcTeC.

- Fermi-level density of states (states/eV/cell) = 3.45
- crystal system = tetragonal
- E_tot (eV/cell) = -37.94
- E_form (uncorrected) (meV/atom) = -457

Lattice parameters (Å, degrees): 5.048 5.048 4.026 90.00 90.00 90.00
Each line ends with the local moment (μB).
Sites, in units of the cell vectors:
Y: 0.000 0.500 0.000  0.00
Y: 0.500 0.000 0.000  0.00
C: 0.000 0.000 0.000  0.00
Te: 0.500 0.500 0.500  0.01
Tc: 0.000 0.000 0.500  0.14


The following is a DFT calculation (GGA-PBE) of a relaxed structure of Cd12Ga5Au3.

- Fermi-level density of states (states/eV/cell) = 37.66
- crystal system = cubic
- E_tot (eV/cell) = -132.48
- energy of formation (kJ/mol of atoms) = 13.6

Lattice parameters (Å, degrees): 14.028 14.028 14.028 109.47 109.47 109.47
Sites, in units of the cell vectors:
Au: 0.750 0.375 0.125
Au: 0.875 0.750 0.125
Au: 0.375 0.750 0.625
Au: 0.250 0.125 0.375
Au: 0.875 0.125 0.250
Au: 0.375 0.625 0.250
Au: 0.625 0.375 0.750
Au: 0.125 0.875 0.750
Au: 0.750 0.875 0.625
Au: 0.625 0.250 0.375
Au: 0.125 0.250 0.875
Au: 0.250 0.625 0.875
Ga: 0.125 0.375 0.250
Ga: 0.000 0.500 0.000
Ga: 0.000 0.000 0.000
Ga: 0.375 0.250 0.125
Ga: 0.500 0.000 0.500
Ga: 0.500 0.500 0.000
Ga: 0.125 0.750 0.375
Ga: 0.750 0.125 0.875
Ga: 0.750 0.625 0.375
Ga: 0.375 0.125 0.750
Ga: 0.625 0.875 0.250
Ga: 0.500 0.500 0.500
Ga: 0.500 0.000 0.000
Ga: 0.000 0.000 0.500
Ga: 0.250 0.375 0.625
Ga: 0.250 0.875 0.125
Ga: 0.000 0.500 0.500
Ga: 0.875 0.250 0.625
Ga: 0.625 0.750 0.875
Ga: 0.875 0.625 0.750
Cd: 0.729 0.138 0.063
Cd: 0.334 0.563 0.425
Cd: 0.937 0.362 0.271
Cd: 0.563 0.229 0.138
Cd: 0.591 0.729 0.666
Cd: 0.937 0.575 0.166
Cd: 0.334 0.771 0.409
Cd: 0.075 0.909 0.138
Cd: 0.575 0.937 0.666
Cd: 0.729 0.591 0.166
Cd: 0.771 0.437 0.362
Cd: 0.834 0.925 0.063
Cd: 0.138 0.729 0.563
Cd: 0.362 0.425 0.091
Cd: 0.091 0.925 0.362
Cd: 0.409 0.138 0.575
Cd: 0.091 0.166 0.229
Cd: 0.437 0.666 0.075
Cd: 0.834 0.909 0.271
Cd: 0.138 0.409 0.075
Cd: 0.362 0.937 0.771
Cd: 0.575 0.638 0.409
Cd: 0.925 0.834 0.563
Cd: 0.771 0.334 0.909
Cd: 0.425 0.362 0.591
Cd: 0.075 0.166 0.437
Cd: 0.229 0.666 0.091
Cd: 0.166 0.091 0.729
Cd: 0.638 0.063 0.229
Cd: 0.862 0.591 0.925
Cd: 0.563 0.334 0.925
Cd: 0.591 0.862 0.425
Cd: 0.909 0.834 0.771
Cd: 0.909 0.075 0.638
Cd: 0.862 0.271 0.437
Cd: 0.166 0.075 0.937
Cd: 0.638 0.575 0.909
Cd: 0.425 0.063 0.334
Cd: 0.271 0.409 0.834
Cd: 0.229 0.563 0.638
Cd: 0.925 0.091 0.862
Cd: 0.666 0.229 0.591
Cd: 0.437 0.771 0.862
Cd: 0.063 0.425 0.834
Cd: 0.409 0.271 0.334
Cd: 0.063 0.638 0.729
Cd: 0.666 0.437 0.575
Cd: 0.271 0.862 0.937


The following is a DFT calculation (GGA-PBE) of a relaxed structure of AgSb2TeBr.

- relative energy among the computed polymorphs (meV per atom) = 0.0
- Fermi-level density of states (states/eV/cell) = 6.21
- crystal system = tetragonal
- E_tot (eV/cell) = -13.11
- E_form (uncorrected) (meV/atom) = 559

Lattice parameters (Å, degrees): 5.501 5.501 5.324 90.00 90.00 90.00
Sites, in units of the cell vectors:
Sb: 0.000 0.500 0.000
Sb: 0.500 0.000 0.000
Te: 0.000 0.000 0.500
Br: 0.500 0.500 0.500
Ag: 0.000 0.000 0.000